Entry 1:
## PuU3 (PBE)

Data for a relaxed structure of PuU3.

Computed properties:
Formation energy, meV per atom: 136
Calculated density, Mg/m³: 18.9
Total DFT energy (no corrections), Ry per atom: -0.8756

Lattice parameters (Å, degrees): 5.7627 5.2100 5.7710 90.00 104.03 90.00
Space group P2_1/m (No. 11)
Symmetry-distinct sites (fractional):
Pu1 0.1562 0.2500 0.3155 (multiplicity 2)
U1 0.1354 0.2500 0.7581 (multiplicity 2)
U2 0.3782 0.7500 0.0680 (multiplicity 2)
U3 0.3803 0.7500 0.6206 (multiplicity 2)


Entry 2:
## BaLi2RhO4 (PBE)

Data for a relaxed structure of BaLi2RhO4.

Computed properties:
Formation energy without anion corrections, eV per atom: -1.4972
Calculated density, Mg/m³: 4.7
Total DFT energy (no corrections), Ry per atom: -0.4126

Lattice parameters (Å, degrees): 5.3447 5.3447 7.8368 90.00 90.00 90.00
Space group I-42m (No. 121)
Symmetry-distinct sites (fractional):
Ba1 0.0000 0.0000 0.0000 (multiplicity 2)
Li1 0.0000 0.5000 0.2500 (multiplicity 4)
Rh1 0.0000 0.0000 0.5000 (multiplicity 2)
O1 0.1863 0.1863 0.3299 (multiplicity 8)